1.
The following is a PBE-GGA calculation of a geometry-optimized Y3CrCu structure, from Alexandria.

size of the total moment	0.0	μB per formula unit
symmetry	Pm-3m, No. 221
E above lowest polymorph	0.000	eV per atom
calculated total energy	-6.0212	eV/atom
energy relative to the elements	0.60	eV per atom

```
5
Lattice="-3.179 -0.797 3.941 4.008 -1.030 3.025 0.321 4.958 1.262" Properties=species:S:1:pos:R:3 pbc="T T T"
Y 2.004 -0.515 1.513
Y 0.161 2.479 0.631
Y -1.590 -0.398 1.971
Cr 0.000 0.000 0.000
Cu 0.575 1.566 4.114
```


2.
The following is a PBE-GGA calculation of a geometry-optimized Ac4RuIBr2 structure, from Alexandria.

uncorrected formation energy	-0.93	eV per atom
size of the total moment	0.0	μB per formula unit
symmetry	P2/m, No. 10
calculated total energy	-4.7509	eV/atom

```
8
Lattice="4.345 0.000 0.000 0.000 8.837 0.282 0.000 -2.922 7.880" Properties=species:S:1:pos:R:3 pbc="T T T"
Ac 2.172 2.034 1.831
Ac 2.172 3.881 6.331
Ac 0.000 0.354 6.390
Ac 0.000 5.561 1.772
Ru 2.172 4.418 0.141
I 0.000 0.000 0.000
Br 2.172 -1.461 3.940
Br 0.000 2.958 4.081
```


3.
The following is a PBE-GGA calculation of a geometry-optimized Ac2SiBRh6 structure, from Alexandria.

uncorrected formation energy	-0.69	eV per atom
size of the total moment	0.0	μB per formula unit
symmetry	Pmmn, No. 59
calculated total energy	-7.1375	eV/atom

```
20
Lattice="-5.058 -1.940 -3.244 -1.231 -4.271 4.474 -5.051 5.968 4.307" Properties=species:S:1:pos:R:3 pbc="T T T"
Ac -4.714 -2.683 2.810
Ac -4.094 3.407 4.347
Ac -7.242 0.305 4.966
Ac -1.572 0.427 2.196
Si -3.450 -0.222 5.512
Si -2.836 -2.035 -0.506
B -5.363 0.944 1.653
B -0.923 -3.200 3.353
Rh -4.164 -0.471 0.629
Rh -6.561 2.361 2.673
Rh -2.122 -1.786 4.376
Rh -4.776 1.350 6.639
Rh -3.872 2.420 1.356
Rh -6.267 1.501 -0.180
Rh -4.455 0.390 3.485
Rh -6.855 -0.530 1.945
Rh -4.488 -3.666 -0.183
Rh -1.831 -2.647 1.521
Rh -2.413 -4.676 3.650
Rh -5.076 -5.697 1.942
```


4.
The following is a PBE-GGA calculation of a geometry-optimized Th6BiOs3Rh2 structure, from Alexandria.

size of the total moment	0.0	μB per formula unit
symmetry	C2/m, No. 12
calculated total energy	-8.5616	eV/atom
energy relative to the elements	-0.50	eV per atom

```
12
Lattice="4.383 0.000 0.000 0.000 7.726 1.148 -2.191 -1.387 8.622" Properties=species:S:1:pos:R:3 pbc="T T T"
Th 0.000 5.706 6.121
Th 2.191 4.784 3.229
Th 2.191 0.634 3.649
Th 0.000 2.130 1.157
Th 2.191 4.210 8.613
Th 0.000 1.556 6.541
Bi 2.191 0.000 0.000
Os 2.191 3.863 0.574
Os 2.191 -0.482 6.322
Os 0.000 6.822 3.447
Rh 2.191 3.538 5.799
Rh 0.000 2.802 3.970
```


5.
The following is a PBE-GGA calculation of a geometry-optimized PmGdZnGa structure, from Alexandria.

size of the total moment	7.8	μB per formula unit
symmetry	F-43m, No. 216
calculated total energy	-6.2493	eV/atom
energy relative to the elements	-0.47	eV per atom

```
4
Lattice="-4.464 -0.469 -2.530 -0.204 -2.692 -4.388 -2.425 -4.544 -0.125" Properties=species:S:1:pos:R:3 pbc="T T T"
Zn -5.319 -5.779 -5.282
Gd -3.546 -3.853 -3.521
Ga -1.773 -1.926 -1.761
Pm 0.000 0.000 0.000
```


6.
The following is a PBE-GGA calculation of a geometry-optimized HfNbZn6 structure, from Alexandria.

size of the total moment	0.0	μB per formula unit
symmetry	P4/mmm, No. 123
calculated total energy	-3.6286	eV/atom
energy relative to the elements	-0.17	eV per atom

```
8
Lattice="3.983 0.000 0.000 0.000 3.983 0.000 0.000 0.000 8.009" Properties=species:S:1:pos:R:3 pbc="T T T"
Hf 0.000 0.000 0.000
Nb 0.000 0.000 4.004
Zn 1.992 1.992 0.000
Zn 1.992 1.992 4.004
Zn 1.992 0.000 2.051
Zn 1.992 0.000 5.957
Zn 0.000 1.992 2.051
Zn 0.000 1.992 5.957
```